A plane-wave DFT calculation with PBE-GGA was carried out for a relaxed EuIF2 crystal.

Computed properties:
Electronic total energy in eV per cell: -26.65
Density of states at the Fermi level in states/eV per cell: 13.674
Symmetry: R-3m (166)

a b c (Å): 3.9827 3.9827 7.1270
angles (deg): 73.77 73.77 60.00
Site moments in Bohr magnetons follow the coordinates.
Element x y z (fractional)
I: 0.0000 0.0000 0.0000  -0.09
F: 0.7999 0.7999 0.6003  -0.01
F: 0.2001 0.2001 0.3997  -0.01
Eu: 0.5000 0.5000 0.5000  6.52